Below is an optimized crystal structure of TaV2MoH, with properties calculated at the PBE level.

a b c (Å): 3.7322 3.7322 4.6060
angles (deg): 90.00 90.00 90.00
Last column: nearest neighbours and their distance in Å.
Element x y z (fractional)
Ta1 0.5000 0.5000 0.5000  4 Mo 2.64
H1 0.0000 0.0000 0.0000  4 V 1.87
V1 0.5000 0.0000 0.0000  2 H 1.87
V2 0.0000 0.5000 0.0000  2 H 1.87
Mo1 0.0000 0.0000 0.5000  2 H 2.30

Summary:
N(E_F)   0.744 states/eV/atom
Crystal system   tetragonal
E_tot   -8.809 eV per atom
Volume   12.8 Å³ per atom

***

Below is an optimized crystal structure of LaCd3Pd4, with properties calculated at the PBE level.

a b c (Å): 4.7328 4.7328 8.5212
angles (deg): 73.88 73.88 60.00
Last column: nearest neighbours and their distance in Å.
Element x y z (fractional)
La1 0.0000 0.0000 0.0000  8 Pd 3.01-3.03
Cd1 0.7559 0.7559 0.7324  7 Pd 2.86-2.90
Cd2 0.2441 0.2441 0.2676  7 Pd 2.86-2.90
Cd3 0.5000 0.5000 0.5000  8 Pd 2.72-2.92
Pd1 0.8755 0.8755 0.3735  7 Cd 2.86-2.92, 1 La 3.01
Pd2 0.1245 0.1245 0.6265  7 Cd 2.86-2.92, 1 La 3.01
Pd3 0.3876 0.3876 0.8371  4 Cd 2.72-2.86, 3 La 3.03
Pd4 0.6124 0.6124 0.1629  4 Cd 2.72-2.86, 3 La 3.03

Summary:
N(E_F)   0.415 states/eV/atom
Crystal system   trigonal
ΔH_f (0 K)   -0.51 eV per atom
Volume   19.6 Å³ per atom

***

Below is an optimized crystal structure of Li2CaTa2, with properties calculated at the PBE level.

a b c (Å): 8.4222 8.4222 2.8419
angles (deg): 90.00 90.00 90.00
Last column: nearest neighbours and their distance in Å.
Element x y z (fractional)
Li1 0.8157 0.3157 0.5000  2 Li 2.84, 6 Ta 2.86-2.91
Li2 0.3157 0.1843 0.5000  2 Li 2.84, 6 Ta 2.86-2.91
Li3 0.1843 0.6843 0.5000  2 Li 2.84, 6 Ta 2.86-2.91
Li4 0.6843 0.8157 0.5000  2 Li 2.84, 6 Ta 2.86-2.91
Ta1 0.6072 0.1072 0.0000  3 Ta 2.55-2.84
Ta2 0.1072 0.3928 0.0000  3 Ta 2.55-2.84
Ta3 0.8928 0.6072 0.0000  3 Ta 2.55-2.84
Ta4 0.3928 0.8928 0.0000  3 Ta 2.55-2.84
Ca1 0.5000 0.5000 0.0000  2 Ca 2.84
Ca2 0.0000 0.0000 0.0000  2 Ca 2.84

Summary:
N(E_F)   1.074 states/eV/atom
Polymorph energy (0 for the lowest one)   0.000 eV/atom
Crystal system   tetragonal
ΔH_f (0 K)   0.66 eV per atom
Volume   20.2 Å³ per atom

***

Below is an optimized crystal structure of In2NiAu, with properties calculated at the PBE level.

a b c (Å): 6.4366 6.4366 4.3572
angles (deg): 70.52 70.52 27.07
Last column: nearest neighbours and their distance in Å.
Element x y z (fractional)
In1 0.8025 0.8025 0.6974  2 Ni 2.70, 4 Au 2.96, 2 In 3.01
In2 0.0142 0.0142 0.9859  4 Ni 2.66
Ni1 0.4931 0.4931 0.5072  6 In 2.66-2.70, 2 Au 2.76
Au1 0.1901 0.1901 0.3095  2 Ni 2.76, 6 In 2.96-3.01, 2 Au 3.01

Summary:
N(E_F)   0.362 states/eV/atom
Polymorph energy (0 for the lowest one)   0.000 eV/atom
Crystal system   monoclinic
ΔH_f (0 K)   -0.13 eV per atom
Volume   19.3 Å³ per atom

***

Below is an optimized crystal structure of NaNi, with properties calculated at the PBE level.

a b c (Å): 5.8261 7.1500 6.9085
angles (deg): 90.00 90.00 90.00
Last column: nearest neighbours and their distance in Å.
Element x y z (fractional)
Na1 0.3080 0.2558 0.9565  5 Ni 2.76-2.99, 4 Na 2.79-2.98
Na2 0.8080 0.2442 0.0435  5 Ni 2.76-2.99, 4 Na 2.79-2.98
Na3 0.4097 0.0567 0.2990  2 Na 2.79-2.82, 6 Ni 2.86-3.11
Na4 0.9097 0.4433 0.7010  2 Na 2.79-2.82, 6 Ni 2.86-3.11
Na5 0.6920 0.7558 0.5435  5 Ni 2.76-2.99, 4 Na 2.79-2.98
Na6 0.0903 0.9433 0.7990  2 Na 2.79-2.82, 6 Ni 2.86-3.11
Na7 0.1920 0.7442 0.4565  5 Ni 2.76-2.99, 4 Na 2.79-2.98
Na8 0.5903 0.5567 0.2010  2 Na 2.79-2.82, 6 Ni 2.86-3.11
Ni1 0.9009 0.1170 0.4144  3 Ni 2.37-2.40
Ni2 0.4009 0.3830 0.5856  3 Ni 2.37-2.40
Ni3 0.6264 0.1182 0.6680  3 Ni 2.37-2.40
Ni4 0.0991 0.6170 0.0856  3 Ni 2.37-2.40
Ni5 0.8736 0.8818 0.1679  3 Ni 2.37-2.40
Ni6 0.3736 0.6182 0.8320  3 Ni 2.37-2.40
Ni7 0.5991 0.8830 0.9144  3 Ni 2.37-2.40
Ni8 0.1264 0.3818 0.3320  3 Ni 2.37-2.40

Summary:
N(E_F)   0.801 states/eV/atom
Crystal system   orthorhombic
ΔH_f (0 K)   0.45 eV per atom
Volume   18.0 Å³ per atom

***

Below is an optimized crystal structure of KCaMn2, with properties calculated at the PBE level.

a b c (Å): 5.6790 5.6790 3.6168
angles (deg): 90.00 90.00 90.00
Last column: nearest neighbours and their distance in Å.
Element x y z (fractional)
Mn1 0.5000 0.5000 0.0000  4 K 3.37, 4 Ca 3.37, 2 Mn 3.62
Mn2 0.0000 0.0000 0.0000  4 Ca 3.37, 4 K 3.37, 2 Mn 3.62
K1 0.0000 0.5000 0.5000  8 Mn 3.37, 2 K 3.62
Ca1 0.5000 0.0000 0.5000  8 Mn 3.37, 2 Ca 3.62

Summary:
N(E_F)   1.139 states/eV/atom
Polymorph energy (0 for the lowest one)   0.277 eV/atom
Crystal system   tetragonal
ΔH_f (0 K)   0.92 eV per atom
Volume   29.2 Å³ per atom

***

Below is an optimized crystal structure of TbZn2Sn2, with properties calculated at the PBE level.

a b c (Å): 4.3778 4.3891 11.5064
angles (deg): 90.00 100.97 90.00
Last column: nearest neighbours and their distance in Å.
Element x y z (fractional)
Tb1 0.6398 0.7500 0.2795  8 Sn 3.14-3.33, 4 Zn 3.19-3.28
Tb2 0.3602 0.2500 0.7205  8 Sn 3.14-3.33, 4 Zn 3.19-3.28
Zn1 0.5318 0.2500 0.0636  4 Zn 2.62-2.68, 2 Sn 2.94
Zn2 0.9630 0.2500 0.9260  4 Zn 2.68-2.76, 2 Sn 2.86
Zn3 0.0370 0.7500 0.0740  4 Zn 2.68-2.76, 2 Sn 2.86
Zn4 0.4682 0.7500 0.9364  4 Zn 2.62-2.68, 2 Sn 2.94
Sn1 0.7505 0.2500 0.5011  4 Sn 3.10, 4 Tb 3.31-3.33
Sn2 0.2495 0.7500 0.4989  4 Sn 3.10, 4 Tb 3.31-3.33
Sn3 0.8815 0.7500 0.7631  4 Zn 2.86-2.94, 4 Tb 3.14
Sn4 0.1185 0.2500 0.2369  4 Zn 2.86-2.94, 4 Tb 3.14

Summary:
N(E_F)   0.371 states/eV/atom
Crystal system   orthorhombic
ΔH_f (0 K)   -0.36 eV per atom
Volume   21.7 Å³ per atom

***

Below is an optimized crystal structure of CaSbH, with properties calculated at the PBE level.

a b c (Å): 6.5544 6.5200 6.5719
angles (deg): 90.00 90.00 90.00
Last column: nearest neighbours and their distance in Å.
Element x y z (fractional)
Sb1 0.2438 0.7500 0.9593  1 H 1.79
Sb2 0.7438 0.7500 0.5407  1 H 1.79
Sb3 0.2562 0.2500 0.4593  1 H 1.79
Sb4 0.7562 0.2500 0.0407  1 H 1.79
Ca1 0.7725 0.2500 0.5285  2 H 2.33-2.34
Ca2 0.7275 0.7500 0.0285  2 H 2.33-2.34
Ca3 0.2275 0.7500 0.4715  2 H 2.33-2.34
Ca4 0.2725 0.2500 0.9715  2 H 2.33-2.34
H1 0.0580 0.7500 0.1583  1 Sb 1.79
H2 0.5580 0.7500 0.3417  1 Sb 1.79
H3 0.9420 0.2500 0.8417  1 Sb 1.79
H4 0.4420 0.2500 0.6583  1 Sb 1.79

Summary:
N(E_F)   0.016 states/eV/atom
Polymorph energy (0 for the lowest one)   0.087 eV/atom
Crystal system   orthorhombic
Volume   23.4 Å³ per atom